Entry from Alexandria via LeMat-Bulk: RbSrCrF2 after structural relaxation (PBE with a Hubbard U).

* space-group type: P4/mmm
* electronic total energy: -17.89 eV/cell

Geometry as POSCAR:
```
RbSrCrF2
1.0
4.9050 0.0000 0.0000
0.0000 4.9050 0.0000
0.0000 0.0000 5.9906
Rb Sr Cr F
1 1 1 2
direct
0.0000 0.0000 0.0000
0.5000 0.5000 0.0000
0.5000 0.5000 0.5000
0.0000 0.5000 0.5000
0.5000 0.0000 0.5000
```